1.
VASP calculation (PBE-GGA) on an optimized crystal structure of Pr2NdCd2.

Cell lengths 12.0814, 3.8483, 8.5590 Å; angles 90.00, 130.34, 90.00 degrees
With the nearest neighbours (Å) after each atom.
Space group C2/m (No. 12)
One atom of each set of equivalent atoms:
Pr 0.1603 0.0000 0.2592  5 Cd 3.38-3.63, 3 Pr 3.53-3.72, 3 Nd 3.63-3.72
Nd 0.0000 0.0000 0.5000  4 Cd 3.34, 6 Pr 3.63-3.72
Cd 0.1276 0.5000 0.9044  2 Cd 2.98

Distance to the lowest polymorph of the same formula   59 meV per atom
Magnetic moment   0.00 Bohr magnetons per cell
E_form   -0.191 eV/atom
Raw total energy   -34.2 eV/cell
Density of states at the Fermi level   5.59 states/eV/f.u.
Calculated volume   30.3 Å³ per atom

2.
VASP calculation (PBE-GGA) on an optimized crystal structure of Pr12NdCd3.

Cell lengths 5.0582, 5.0582, 20.5018 Å; angles 90.00, 90.00, 90.00 degrees
With the nearest neighbours (Å) after each atom.
Space group P4/mmm (No. 123)
One atom of each set of equivalent atoms:
Pr 0.0000 0.0000 0.0000  8 Pr 3.56, 4 Cd 3.58
Pr 0.0000 0.0000 0.2449  8 Pr 3.57-3.58, 4 Cd 3.58
Pr 0.0000 0.0000 0.5000  4 Nd 3.58, 8 Pr 3.70
Pr 0.0000 0.5000 0.1222  4 Cd 3.54-3.56, 8 Pr 3.56-3.58
Pr 0.0000 0.5000 0.3683  8 Pr 3.58-3.70, 2 Cd 3.61, 2 Nd 3.70
Nd 0.5000 0.5000 0.5000  12 Pr 3.58-3.70
Cd 0.5000 0.5000 0.0000  12 Pr 3.56-3.58
Cd 0.5000 0.5000 0.2430  12 Pr 3.54-3.61

Magnetic moment   0.00 Bohr magnetons per cell
E_form   -0.076 eV/atom
Raw total energy   -66.1 eV/cell
Density of states at the Fermi level   23.89 states/eV/f.u.
Calculated volume   32.8 Å³ per atom

3.
VASP calculation (PBE-GGA) on an optimized crystal structure of PrNd4Cd.

Cell lengths 3.7093, 3.7093, 14.5058 Å; angles 90.00, 90.00, 90.00 degrees
With the nearest neighbours (Å) after each atom.
Space group P4/mmm (No. 123)
One atom of each set of equivalent atoms:
Pr 0.0000 0.0000 0.0000  8 Nd 3.70, 4 Pr 3.71
Nd 0.0000 0.0000 0.3563  4 Cd 3.35, 8 Nd 3.66-3.71
Nd 0.5000 0.5000 0.1800  8 Nd 3.66-3.71, 4 Pr 3.70
Cd 0.5000 0.5000 0.5000  8 Nd 3.35, 4 Cd 3.71

Distance to the lowest polymorph of the same formula   0 meV per atom
Magnetic moment   0.00 Bohr magnetons per cell
E_form   -0.098 eV/atom
Raw total energy   -25.4 eV/cell
Density of states at the Fermi level   7.68 states/eV/f.u.
Calculated volume   33.3 Å³ per atom

4.
VASP calculation (PBE-GGA) on an optimized crystal structure of Pr3NdCd.

Cell lengths 3.8110, 8.9377, 10.2310 Å; angles 76.95, 79.29, 89.99 degrees
With the nearest neighbours (Å) after each atom.
Space group P-1 (No. 2)
One atom of each set of equivalent atoms:
Pr 0.0030 0.2834 0.4931  4 Cd 3.32-3.43, 1 Pr 3.59, 4 Nd 3.63-3.71
Pr 0.1879 0.3752 0.1259  2 Cd 3.32, 3 Pr 3.52-3.59, 2 Nd 3.68-3.69
Pr 0.2025 0.8301 0.0955  2 Cd 3.31, 2 Nd 3.68
Nd 0.4040 0.9622 0.6903  9 Pr 3.63-3.97, 3 Nd 3.73-3.81
Cd 0.3984 0.4296 0.7027  8 Pr 3.31-3.43

Distance to the lowest polymorph of the same formula   0 meV per atom
Magnetic moment   0.00 Bohr magnetons per cell
E_form   -0.116 eV/atom
Raw total energy   -41.2 eV/cell
Density of states at the Fermi level   6.00 states/eV/f.u.
Calculated volume   33.3 Å³ per atom

5.
VASP calculation (PBE-GGA) on an optimized crystal structure of Pr7Nd2Cd2.

Cell lengths 9.2438, 10.0350, 8.3799 Å; angles 90.00, 103.30, 90.00 degrees
With the nearest neighbours (Å) after each atom.
Space group C2/m (No. 12)
One atom of each set of equivalent atoms:
Pr 0.0000 0.0000 0.0000  4 Pr 3.53, 2 Cd 3.57
Pr 0.1813 0.2940 0.1723  3 Cd 3.26-3.60, 3 Pr 3.52-3.62, 1 Nd 3.54
Pr 0.1898 0.5000 0.5295  1 Cd 3.08, 1 Pr 3.43, 2 Nd 3.45
Nd 0.0000 0.1802 0.5000  8 Pr 3.45-3.71, 1 Nd 3.62
Cd 0.1050 0.5000 0.8639  5 Pr 3.08-3.32, 1 Cd 3.32

Magnetic moment   0.00 Bohr magnetons per cell
E_form   0.030 eV/atom
Raw total energy   -89.0 eV/cell
Density of states at the Fermi level   17.40 states/eV/f.u.
Calculated volume   34.4 Å³ per atom

6.
VASP calculation (PBE-GGA) on an optimized crystal structure of PrNd8Cd2.

Cell lengths 16.0169, 6.9452, 6.7458 Å; angles 90.00, 100.97, 90.00 degrees
With the nearest neighbours (Å) after each atom.
Space group C2/m (No. 12)
One atom of each set of equivalent atoms:
Pr 0.0000 0.0000 0.0000  10 Nd 3.48-3.84
Nd 0.0883 0.5000 0.9125  2 Nd 3.26-3.41, 1 Cd 3.28
Nd 0.0989 0.2648 0.4163  2 Cd 3.17-3.29, 2 Nd 3.27-3.47, 1 Pr 3.48
Nd 0.2083 0.0000 0.8196  1 Cd 3.19, 3 Nd 3.41-3.47
Cd 0.2440 0.0000 0.3009  6 Nd 3.17-3.29

Distance to the lowest polymorph of the same formula   87 meV per atom
Magnetic moment   0.00 Bohr magnetons per cell
E_form   0.014 eV/atom
Raw total energy   -89.2 eV/cell
Density of states at the Fermi level   14.93 states/eV/f.u.
Calculated volume   33.5 Å³ per atom

7.
VASP calculation (PBE-GGA) on an optimized crystal structure of Pr2Nd3Cd6.

Cell lengths 4.1352, 4.1352, 39.8527 Å; angles 90.00, 90.00, 90.00 degrees
With the nearest neighbours (Å) after each atom.
Space group I4/mmm (No. 139)
One atom of each set of equivalent atoms:
Pr 0.0000 0.0000 0.1327  5 Cd 3.40-3.79, 4 Nd 3.70
Nd 0.0000 0.0000 0.3106  5 Cd 3.29-3.30
Nd 0.0000 0.0000 0.5000  8 Cd 3.31
Cd 0.0000 0.0000 0.2279  5 Nd 3.29-3.30, 4 Cd 3.41
Cd 0.0000 0.5000 0.0650  4 Cd 2.92

Magnetic moment   0.00 Bohr magnetons per cell
E_form   -0.027 eV/atom
Raw total energy   -59.3 eV/cell
Density of states at the Fermi level   8.18 states/eV/f.u.
Calculated volume   31.0 Å³ per atom

8.
VASP calculation (PBE-GGA) on an optimized crystal structure of Pr6NdCd.

Cell lengths 9.7246, 9.7246, 10.1522 Å; angles 90.00, 90.00, 120.00 degrees
With the nearest neighbours (Å) after each atom.
Space group R-3 (No. 148, hexagonal axes)
One atom of each set of equivalent atoms:
Pr 0.0240 0.2626 0.2136  1 Cd 3.27, 2 Pr 3.35-3.42, 1 Nd 3.59
Nd 0.0000 0.0000 0.5000  12 Pr 3.59-3.80
Cd 0.0000 0.0000 0.0000  6 Pr 3.27

Distance to the lowest polymorph of the same formula   57 meV per atom
Magnetic moment   0.00 Bohr magnetons per cell
E_form   0.021 eV/atom
Raw total energy   -102.6 eV/cell
Density of states at the Fermi level   10.86 states/eV/f.u.
Calculated volume   34.6 Å³ per atom

9.
VASP calculation (PBE-GGA) on an optimized crystal structure of Pr3Nd3Cd.

Cell lengths 8.7110, 8.7110, 22.2904 Å; angles 90.00, 90.00, 120.00 degrees
With the nearest neighbours (Å) after each atom.
Space group R-3 (No. 148, hexagonal axes)
One atom of each set of equivalent atoms:
Pr 0.0462 0.2714 0.0560  1 Cd 3.32, 2 Pr 3.32, 4 Nd 3.36-3.54
Nd 0.0470 0.2635 0.2147  4 Pr 3.36-3.54, 1 Cd 3.40, 2 Nd 3.67
Cd 0.0000 0.0000 0.3339  3 Pr 3.32, 3 Nd 3.40

Distance to the lowest polymorph of the same formula   161 meV per atom
Magnetic moment   0.00 Bohr magnetons per cell
E_form   0.127 eV/atom
Raw total energy   -172.0 eV/cell
Density of states at the Fermi level   7.60 states/eV/f.u.
Calculated volume   34.9 Å³ per atom

10.
VASP calculation (PBE-GGA) on an optimized crystal structure of Pr2NdCd2.

Cell lengths 3.8586, 5.5510, 14.3754 Å; angles 90.00, 97.75, 90.00 degrees
With the nearest neighbours (Å) after each atom.
Space group P2_1/m (No. 11)
One atom of each set of equivalent atoms:
Pr 0.0452 0.2500 0.0897  8 Cd 3.33-3.39
Pr 0.2341 0.2500 0.4706  2 Cd 3.33, 4 Pr 3.48-3.49
Nd 0.1487 0.7500 0.2950  6 Cd 3.32-3.39
Cd 0.3600 0.7500 0.7200  4 Pr 3.33, 4 Nd 3.38-3.39, 2 Cd 3.72
Cd 0.4465 0.2500 0.8944  2 Nd 3.32, 6 Pr 3.38-3.39

Distance to the lowest polymorph of the same formula   0 meV per atom
Magnetic moment   0.02 Bohr magnetons per cell
E_form   -0.250 eV/atom
Raw total energy   -34.8 eV/cell
Density of states at the Fermi level   6.45 states/eV/f.u.
Calculated volume   30.5 Å³ per atom

11.
VASP calculation (PBE-GGA) on an optimized crystal structure of Pr3Nd3Cd2.

Cell lengths 5.4226, 12.0535, 16.0876 Å; angles 90.00, 90.00, 90.00 degrees
With the nearest neighbours (Å) after each atom.
Space group Cmcm (No. 63)
One atom of each set of equivalent atoms:
Pr 0.0000 0.0361 0.1075  1 Cd 3.24, 2 Nd 3.55, 2 Pr 3.57-3.63
Pr 0.0000 0.2693 0.2500  4 Cd 3.22, 1 Nd 3.28
Nd 0.0000 0.3558 0.0281  3 Cd 3.14-3.43
Nd 0.0000 0.4582 0.7500  2 Cd 3.27, 5 Pr 3.28-3.55
Cd 0.0000 0.2288 0.6420  4 Nd 3.14-3.43, 3 Pr 3.22-3.24, 1 Cd 3.48

Magnetic moment   0.00 Bohr magnetons per cell
E_form   -0.073 eV/atom
Raw total energy   -124.2 eV/cell
Density of states at the Fermi level   9.79 states/eV/f.u.
Calculated volume   32.9 Å³ per atom

12.
VASP calculation (PBE-GGA) on an optimized crystal structure of Pr4NdCd2.

Cell lengths 9.6594, 9.6594, 9.8397 Å; angles 90.00, 90.00, 90.00 degrees
With the nearest neighbours (Å) after each atom.
Space group I-42d (No. 122)
One atom of each set of equivalent atoms:
Pr 0.0787 0.1653 0.3103  4 Cd 3.24-3.49, 2 Nd 3.37-3.53, 2 Pr 3.54-3.55
Nd 0.0000 0.0000 0.0000  8 Pr 3.37-3.53
Cd 0.1455 0.2500 0.6250  8 Pr 3.24-3.49

Magnetic moment   0.00 Bohr magnetons per cell
E_form   0.020 eV/atom
Raw total energy   -102.3 eV/cell
Density of states at the Fermi level   10.76 states/eV/f.u.
Calculated volume   32.8 Å³ per atom